Entry 1:
Computed, not measured: crystalline ErMgRhPb at its relaxed geometry at the PBE level of DFT.

a b c (Å): 3.3547 3.3547 7.7400
angles (deg): 90.00 90.00 90.00
Closest atoms and distances in Å follow each position.
Space group P4mm (No. 99)
Symmetry-distinct sites (fractional):
Er 0.0000 0.0000 0.0000  4 Rh 2.89, 1 Mg 3.13
Mg 0.0000 0.0000 0.5952  4 Rh 2.79
Rh 0.5000 0.5000 0.7857  4 Mg 2.79, 4 Er 2.89
Pb 0.5000 0.5000 0.3209  4 Mg 3.18, 4 Pb 3.35, 4 Er 3.43

E above lowest polymorph, eV per atom: 0.000
Total magnetic moment, μB per formula unit: 0.0
DFT total energy, eV per atom: -4.82
Density, g cm⁻³: 9.56


Entry 2:
Computed, not measured: crystalline ErMgRhPb at its relaxed geometry at the PBE level of DFT.

a b c (Å): 6.9853 6.9853 6.9853
angles (deg): 90.00 90.00 90.00
Closest atoms and distances in Å follow each position.
Space group F-43m (No. 216)
Symmetry-distinct sites (fractional):
Er 0.0000 0.0000 0.0000  4 Rh 3.02, 4 Pb 3.02
Mg 0.0000 0.0000 0.5000  4 Pb 3.02, 4 Rh 3.02
Rh 0.2500 0.2500 0.2500  4 Mg 3.02, 4 Er 3.02
Pb 0.2500 0.2500 0.7500  4 Mg 3.02, 4 Er 3.02

E above lowest polymorph, eV per atom: 0.141
Total magnetic moment, μB per formula unit: 0.0
DFT total energy, eV per atom: -4.68
Density, g cm⁻³: 9.78


Entry 3:
Computed, not measured: crystalline SrErMgPb at its relaxed geometry at the PBE level of DFT.

a b c (Å): 7.8577 7.8577 7.8577
angles (deg): 90.00 90.00 90.00
Closest atoms and distances in Å follow each position.
Space group F-43m (No. 216)
Symmetry-distinct sites (fractional):
Sr 0.0000 0.0000 0.0000  4 Pb 3.40, 4 Mg 3.40
Er 0.0000 0.0000 0.5000  4 Mg 3.40, 4 Pb 3.40
Mg 0.2500 0.2500 0.7500  4 Er 3.40, 4 Sr 3.40
Pb 0.2500 0.2500 0.2500  4 Er 3.40, 4 Sr 3.40

Total magnetic moment, μB per formula unit: 0.0
DFT total energy, eV per atom: -3.11
Density, g cm⁻³: 6.66


Entry 4:
Computed, not measured: crystalline ErMgTl2Pb at its relaxed geometry at the PBE level of DFT.

a b c (Å): 5.9555 16.2796 6.0492
angles (deg): 90.00 90.00 90.00
Closest atoms and distances in Å follow each position.
Space group Cmcm (No. 63)
Symmetry-distinct sites (fractional):
Er 0.0000 0.1602 0.2500  1 Mg 3.19, 4 Pb 3.23-3.47, 4 Tl 3.36
Mg 0.0000 0.3560 0.2500  4 Tl 3.16, 1 Er 3.19, 2 Pb 3.29
Tl 0.2495 0.5000 0.0000  4 Tl 2.97-3.02, 2 Mg 3.16
Pb 0.0000 0.2298 0.7500  4 Er 3.23-3.47, 2 Mg 3.29

Total magnetic moment, μB per formula unit: 0.0
DFT total energy, eV per atom: -2.85
Density, g cm⁻³: 9.15


Entry 5:
Computed, not measured: crystalline Er2MgTl2Pb5 at its relaxed geometry at the PBE level of DFT.

a b c (Å): 11.1580 11.1580 4.8158
angles (deg): 90.00 90.00 90.00
Closest atoms and distances in Å follow each position.
Space group P4/mbm (No. 127)
Symmetry-distinct sites (fractional):
Er 0.1236 0.3764 0.0000  6 Pb 3.10-3.22, 3 Tl 3.15-3.40
Mg 0.0000 0.0000 0.0000  8 Pb 3.32
Tl 0.1767 0.6767 0.0000  3 Er 3.15-3.40
Pb 0.0000 0.5000 0.5000  4 Er 3.10
Pb 0.0758 0.1909 0.5000  2 Er 3.22, 3 Pb 3.24-3.55, 2 Mg 3.32

Total magnetic moment, μB per formula unit: 0.0
DFT total energy, eV per atom: -3.49
Density, g cm⁻³: 9.99


Entry 6:
Computed, not measured: crystalline ErMgZrPb at its relaxed geometry at the PBE level of DFT.

a b c (Å): 7.3280 7.3280 7.3280
angles (deg): 90.00 90.00 90.00
Closest atoms and distances in Å follow each position.
Space group F-43m (No. 216)
Symmetry-distinct sites (fractional):
Er 0.0000 0.0000 0.0000  4 Pb 3.17, 4 Mg 3.17
Mg 0.2500 0.2500 0.7500  4 Zr 3.17, 4 Er 3.17
Zr 0.0000 0.0000 0.5000  4 Pb 3.17, 4 Mg 3.17
Pb 0.2500 0.2500 0.2500  4 Zr 3.17, 4 Er 3.17

Total magnetic moment, μB per formula unit: 0.1
DFT total energy, eV per atom: -4.67
Density, g cm⁻³: 8.27


Entry 7:
Computed, not measured: crystalline Er4Mg5Pd2 at its relaxed geometry at the PBE level of DFT.

a b c (Å): 7.8806 3.5572 9.8267
angles (deg): 90.00 92.96 90.00
Closest atoms and distances in Å follow each position.
Space group P2/m (No. 10)
Symmetry-distinct sites (fractional):
Er 0.1640 0.0000 0.3564  2 Pd 2.82
Er 0.2152 0.0000 0.9477  4 Pd 2.90-2.96
Mg 0.1873 0.5000 0.6545  1 Pd 2.91, 2 Mg 2.96-3.22
Mg 0.4505 0.5000 0.1774  1 Pd 3.01, 2 Mg 3.17-3.22, 2 Er 3.36
Mg 0.5000 0.5000 0.5000  4 Mg 2.96-3.17
Pd 0.0684 0.5000 0.1428  6 Er 2.82-2.96, 2 Mg 2.91-3.01, 1 Pd 2.95

Total magnetic moment, μB per formula unit: 0.0
DFT total energy, eV per atom: -3.68
Density, g cm⁻³: 6.06


Entry 8:
Computed, not measured: crystalline Er3Mg9Pd2 at its relaxed geometry at the PBE level of DFT.

a b c (Å): 4.8986 10.8353 12.0102
angles (deg): 90.00 90.00 90.00
Closest atoms and distances in Å follow each position.
Space group Immm (No. 71)
Symmetry-distinct sites (fractional):
Er 0.0000 0.0000 0.0000  12 Mg 3.26-3.40, 2 Er 3.57
Er 0.0000 0.0000 0.2976  2 Pd 2.92
Mg 0.0000 0.2772 0.1320  5 Mg 2.89-3.17, 2 Pd 3.02
Mg 0.0000 0.3648 0.3690  1 Pd 2.82, 5 Mg 2.89-3.15
Mg 0.0000 0.5000 0.0000  4 Mg 2.89, 4 Pd 2.93
Pd 0.0000 0.1491 0.5000  8 Mg 2.82-3.02, 2 Er 2.92

Total magnetic moment, μB per formula unit: 0.0
DFT total energy, eV per atom: -2.98
Density, g cm⁻³: 4.86


Entry 9:
Computed, not measured: crystalline Er4MgPd5 at its relaxed geometry at the PBE level of DFT.

a b c (Å): 3.4138 3.4138 17.2477
angles (deg): 90.00 90.00 90.00
Closest atoms and distances in Å follow each position.
Space group P4/mmm (No. 123)
Symmetry-distinct sites (fractional):
Er 0.0000 0.0000 0.1038  8 Pd 3.00-3.01
Er 0.0000 0.0000 0.3118  8 Pd 2.96-3.01, 1 Mg 3.25
Mg 0.0000 0.0000 0.5000  8 Pd 2.86
Pd 0.5000 0.5000 0.0000  8 Er 3.01
Pd 0.5000 0.5000 0.2073  8 Er 3.00-3.01
Pd 0.5000 0.5000 0.4115  4 Mg 2.86, 4 Er 2.96, 1 Pd 3.05

Total magnetic moment, μB per formula unit: 0.0
DFT total energy, eV per atom: -5.46
Density, g cm⁻³: 10.12


Entry 10:
Computed, not measured: crystalline ErMg2Pd6 at its relaxed geometry at the PBE level of DFT.

a b c (Å): 8.9052 8.9203 4.6559
angles (deg): 90.00 121.33 90.00
Closest atoms and distances in Å follow each position.
Space group C2/m (No. 12)
Symmetry-distinct sites (fractional):
Er 0.0000 0.0000 0.0000  8 Pd 2.80-2.81, 2 Mg 3.05
Mg 0.0000 0.3415 0.0000  8 Pd 2.65-2.77, 1 Mg 2.83
Pd 0.1928 0.3254 0.6926  3 Mg 2.75-2.77, 1 Er 2.81, 6 Pd 2.82-2.93
Pd 0.2061 0.0000 0.7057  2 Mg 2.65, 2 Er 2.80-2.81, 6 Pd 2.90-2.91

Total magnetic moment, μB per formula unit: 0.0
DFT total energy, eV per atom: -4.85
Density, g cm⁻³: 8.98


Entry 11:
Computed, not measured: crystalline Er3MgPd4 at its relaxed geometry at the PBE level of DFT.

a b c (Å): 4.8643 4.8643 6.7379
angles (deg): 90.00 90.00 90.00
Closest atoms and distances in Å follow each position.
Space group P4/mmm (No. 123)
Symmetry-distinct sites (fractional):
Er 0.0000 0.0000 0.0000  8 Pd 2.97
Er 0.0000 0.0000 0.5000  8 Pd 2.94
Er 0.5000 0.5000 0.0000  8 Pd 2.97
Mg 0.5000 0.5000 0.5000  8 Pd 2.94
Pd 0.0000 0.5000 0.2536  2 Mg 2.94, 6 Er 2.94-2.97

Total magnetic moment, μB per formula unit: 0.0
DFT total energy, eV per atom: -5.38
Density, g cm⁻³: 9.91


Entry 12:
Computed, not measured: crystalline Er3MgPd12 at its relaxed geometry at the PBE level of DFT.

a b c (Å): 4.0751 4.0751 16.2508
angles (deg): 90.00 90.00 90.00
Closest atoms and distances in Å follow each position.
Space group P4/mmm (No. 123)
Symmetry-distinct sites (fractional):
Er 0.0000 0.0000 0.0000  12 Pd 2.88-2.90
Er 0.0000 0.0000 0.2549  12 Pd 2.88-2.91
Mg 0.0000 0.0000 0.5000  12 Pd 2.80-2.88
Pd 0.0000 0.5000 0.1272  8 Pd 2.88-2.90, 4 Er 2.90-2.91
Pd 0.0000 0.5000 0.3817  2 Mg 2.80, 8 Pd 2.80-2.91, 2 Er 2.90
Pd 0.5000 0.5000 0.0000  4 Er 2.88, 8 Pd 2.90
Pd 0.5000 0.5000 0.2541  4 Er 2.88, 8 Pd 2.90-2.91
Pd 0.5000 0.5000 0.5000  8 Pd 2.80, 4 Mg 2.88

Total magnetic moment, μB per formula unit: 0.0
DFT total energy, eV per atom: -5.64
Density, g cm⁻³: 11.10


Entry 13:
Computed, not measured: crystalline Er3Mg2Pd2 at its relaxed geometry at the PBE level of DFT.

a b c (Å): 4.2737 21.7640 3.5993
angles (deg): 90.00 90.00 90.00
Closest atoms and distances in Å follow each position.
Space group Cmmm (No. 65)
Symmetry-distinct sites (fractional):
Er 0.0000 0.0000 0.0000  8 Mg 3.32, 2 Er 3.60
Er 0.0000 0.1751 0.0000  6 Pd 2.89-3.09
Mg 0.0000 0.4173 0.5000  1 Pd 2.76
Pd 0.0000 0.2907 0.5000  1 Mg 2.76, 2 Pd 2.77, 4 Er 2.89

E above lowest polymorph, eV per atom: 0.000
Total magnetic moment, μB per formula unit: 0.0
DFT total energy, eV per atom: -4.42
Density, g cm⁻³: 7.57


Entry 14:
Computed, not measured: crystalline ErMg2Pd9 at its relaxed geometry at the PBE level of DFT.

a b c (Å): 4.0365 4.0365 11.9378
angles (deg): 90.00 90.00 90.00
Closest atoms and distances in Å follow each position.
Space group P4/mmm (No. 123)
Symmetry-distinct sites (fractional):
Er 0.0000 0.0000 0.0000  12 Pd 2.85-2.90
Mg 0.0000 0.0000 0.3383  12 Pd 2.79-2.85
Pd 0.0000 0.5000 0.1749  8 Pd 2.80-2.90, 2 Mg 2.81, 2 Er 2.90
Pd 0.0000 0.5000 0.5000  4 Mg 2.79, 8 Pd 2.80-2.85
Pd 0.5000 0.5000 0.0000  4 Er 2.85, 8 Pd 2.90
Pd 0.5000 0.5000 0.3376  8 Pd 2.80, 4 Mg 2.85

Total magnetic moment, μB per formula unit: 0.0
DFT total energy, eV per atom: -5.15
Density, g cm⁻³: 10.02


Entry 15:
Computed, not measured: crystalline Er4Mg3Pd at its relaxed geometry at the PBE level of DFT.

a b c (Å): 3.6518 3.6518 15.0058
angles (deg): 90.00 90.00 90.00
Closest atoms and distances in Å follow each position.
Space group P4/mmm (No. 123)
Symmetry-distinct sites (fractional):
Er 0.0000 0.0000 0.1079  4 Pd 3.05, 1 Er 3.24, 4 Mg 3.27
Er 0.0000 0.0000 0.3699  8 Mg 3.22-3.24
Mg 0.5000 0.5000 0.2413  8 Er 3.22-3.27
Mg 0.5000 0.5000 0.5000  8 Er 3.24
Pd 0.5000 0.5000 0.0000  8 Er 3.05

Total magnetic moment, μB per formula unit: 0.0
DFT total energy, eV per atom: -3.81
Density, g cm⁻³: 7.04


Entry 16:
Computed, not measured: crystalline ErMg4Pd5 at its relaxed geometry at the PBE level of DFT.

a b c (Å): 3.2742 3.2742 16.0150
angles (deg): 90.00 90.00 90.00
Closest atoms and distances in Å follow each position.
Space group P4/mmm (No. 123)
Symmetry-distinct sites (fractional):
Er 0.0000 0.0000 0.0000  8 Pd 2.94, 4 Er 3.27
Mg 0.0000 0.0000 0.2112  8 Pd 2.78-2.80, 1 Mg 3.08
Mg 0.0000 0.0000 0.4038  8 Pd 2.78-2.79, 2 Mg 3.08
Pd 0.5000 0.5000 0.1131  4 Mg 2.80, 4 Er 2.94, 1 Pd 3.10
Pd 0.5000 0.5000 0.3068  8 Mg 2.78-2.79, 2 Pd 3.09-3.10
Pd 0.5000 0.5000 0.5000  8 Mg 2.78, 2 Pd 3.09

Total magnetic moment, μB per formula unit: 0.0
DFT total energy, eV per atom: -4.45
Density, g cm⁻³: 7.70


Entry 17:
Computed, not measured: crystalline Er2MgPd at its relaxed geometry at the PBE level of DFT.

a b c (Å): 3.5867 3.5867 31.0336
angles (deg): 90.00 90.00 120.00
Closest atoms and distances in Å follow each position.
Space group R-3m (No. 166, hexagonal axes)
Symmetry-distinct sites (fractional):
Er 0.0000 0.0000 0.1060  3 Pd 2.80
Mg 0.0000 0.0000 0.0000  2 Er 3.29, 6 Mg 3.59
Pd 0.0000 0.0000 0.5000  6 Er 2.80

Total magnetic moment, μB per formula unit: 0.0
DFT total energy, eV per atom: -4.07
Density, g cm⁻³: 6.70


Entry 18:
Computed, not measured: crystalline ErMgPd2 at its relaxed geometry at the PBE level of DFT.

a b c (Å): 3.3551 3.3551 6.6233
angles (deg): 90.00 90.00 90.00
Closest atoms and distances in Å follow each position.
Space group P4/mmm (No. 123)
Symmetry-distinct sites (fractional):
Er 0.0000 0.0000 0.0000  8 Pd 2.96, 2 Mg 3.31
Mg 0.0000 0.0000 0.5000  8 Pd 2.82
Pd 0.5000 0.5000 0.2685  4 Mg 2.82, 4 Er 2.96, 1 Pd 3.07

Total magnetic moment, μB per formula unit: 0.0
DFT total energy, eV per atom: -4.96
Density, g cm⁻³: 9.01


Entry 19:
Computed, not measured: crystalline Er3Mg7Pd2 at its relaxed geometry at the PBE level of DFT.

a b c (Å): 5.8351 5.8351 27.8620
angles (deg): 90.00 90.00 120.00
Closest atoms and distances in Å follow each position.
Space group R-3m (No. 166, hexagonal axes)
Symmetry-distinct sites (fractional):
Er 0.0000 0.0000 0.0000  6 Pd 3.37, 12 Mg 3.60
Er 0.0000 0.0000 0.1462  12 Mg 3.42-3.52, 3 Er 3.56
Mg 0.0000 0.0000 0.5000  6 Mg 3.05
Mg 0.0027 0.5013 0.9242  2 Pd 2.70, 4 Mg 2.89-2.94
Pd 0.0000 0.0000 0.3338  6 Mg 2.70

Total magnetic moment, μB per formula unit: 0.0
DFT total energy, eV per atom: -3.21
Density, g cm⁻³: 5.36


Entry 20:
Computed, not measured: crystalline ErMg3Pd3 at its relaxed geometry at the PBE level of DFT.

a b c (Å): 9.2162 9.2162 5.5439
angles (deg): 90.00 90.00 120.00
Closest atoms and distances in Å follow each position.
Space group R3m (No. 160, hexagonal axes)
Symmetry-distinct sites (fractional):
Er 0.0000 0.0000 0.0000  6 Pd 2.75-2.97
Mg 0.1887 0.3775 0.2211  6 Pd 2.68-2.99
Pd 0.0071 0.5035 0.4102  6 Mg 2.68-2.99, 2 Er 2.75-2.97

Total magnetic moment, μB per formula unit: 0.0
DFT total energy, eV per atom: -4.20
Density, g cm⁻³: 6.83


no.,DFT formation energy (meV per atom)
1,-514.3
2,-373.6
3,-222.2
4,73.8
5,-88.0
6,-69.4
7,-355.8
8,-232.7
9,-876.6
10,-525.5
11,-875.6
12,-788.0
13,-521.9
14,-607.3
15,-277.9
16,-764.3
17,-89.8
18,-826.4
19,-270.6
20,-642.2